! ZrZn2Ag PBE relaxed; values from VASP
! * calculated formation energy: -0.136 eV per atom
! * final energy: -3.61 eV per atom
! * space-group type: F-43m, No. 216
&SYSTEM
  ibrav = 0, nat = 4, ntyp = 3
/
ATOMIC_SPECIES
Ag 107.87 Ag.upf
Zn 65.41 Zn.upf
Zr 91.22 Zr.upf
CELL_PARAMETERS angstrom
0.000 3.257 3.257
3.257 0.000 3.257
3.257 3.257 0.000
ATOMIC_POSITIONS crystal
Ag 0.750 0.750 0.750
Zn 0.250 0.250 0.250
Zn 0.500 0.500 0.500
Zr 0.000 0.000 0.000

! Mo3AsC2 PBE relaxed; values from VASP
! * final energy: -9.23 eV per atom
! * space-group type: P6_3/mmc, No. 194
&SYSTEM
  ibrav = 0, nat = 12, ntyp = 3
/
ATOMIC_SPECIES
As 74.92 As.upf
C 12.01 C.upf
Mo 95.94 Mo.upf
CELL_PARAMETERS angstrom
-2.998 -0.629 0.661
1.143 -0.635 -2.848
4.570 -16.086 5.419
ATOMIC_POSITIONS crystal
As 0.000 0.000 0.250
As 0.000 0.000 0.750
C 0.333 0.667 0.073
C 0.333 0.667 0.427
C 0.667 0.333 0.573
C 0.667 0.333 0.927
Mo 0.000 0.000 0.000
Mo 0.667 0.333 0.136
Mo 0.667 0.333 0.364
Mo 0.000 0.000 0.500
Mo 0.333 0.667 0.636
Mo 0.333 0.667 0.864

! YEr2In3CuPd2 PBE relaxed; values from VASP
! * final energy: -4.91 eV per atom
! * space-group type: Amm2, No. 38
&SYSTEM
  ibrav = 0, nat = 9, ntyp = 5
/
ATOMIC_SPECIES
Cu 63.55 Cu.upf
Er 167.26 Er.upf
In 114.82 In.upf
Pd 106.42 Pd.upf
Y 88.91 Y.upf
CELL_PARAMETERS angstrom
-0.281 -3.671 -0.431
7.297 -0.243 -2.681
-1.395 -0.786 7.611
ATOMIC_POSITIONS crystal
Cu 0.000 0.999 0.999
Er 0.000 0.592 0.000
Er 0.000 0.000 0.592
In 0.500 0.000 0.257
In 0.500 0.743 0.743
In 0.500 0.257 0.000
Pd 0.500 0.670 0.332
Pd 0.500 0.332 0.670
Y 0.000 0.407 0.407

! Pr2HoCd3AgAu2 PBE relaxed; values from VASP
! * calculated formation energy: -0.566 eV per atom
! * final energy: -3.47 eV per atom
! * space-group type: Amm2, No. 38
&SYSTEM
  ibrav = 0, nat = 9, ntyp = 5
/
ATOMIC_SPECIES
Ag 107.87 Ag.upf
Au 196.97 Au.upf
Cd 112.41 Cd.upf
Ho 164.93 Ho.upf
Pr 140.91 Pr.upf
CELL_PARAMETERS angstrom
3.941 0.000 0.000
0.000 6.890 4.000
0.000 -6.890 4.000
ATOMIC_POSITIONS crystal
Ag 0.000 0.997 0.997
Au 0.500 0.664 0.342
Au 0.500 0.342 0.664
Cd 0.500 0.261 0.261
Cd 0.500 0.996 0.741
Cd 0.500 0.741 0.996
Ho 0.000 0.591 0.591
Pr 0.000 0.408 0.000
Pr 0.000 0.000 0.408